P3Br | PBE | optimized geometry

Total energy   -4.0893 eV/atom
Uncorrected formation energy   0.39 eV per atom
Volume   73.07 Å³ per cell
Distance to the lowest polymorph of the same formula   0.140 eV per atom
D(E_F)   0.68 states/eV/atom

a b c (Å): 7.013 7.013 7.013
angles (deg): 29.30 29.30 29.30
Fractional coordinates of all 4 atoms:
P (0.000, 0.000, 0.000)
P (0.269, 0.269, 0.269)
P (0.731, 0.731, 0.731)
Br (0.500, 0.500, 0.500)